Entry from Alexandria via LeMat-Bulk: a geometry-optimized Fe2AuI structure (GGA-PBE).

Cell lengths 4.6139, 4.6139, 4.6139 Å; angles 60.00, 60.00, 60.00 degrees
Last column: nearest neighbours and their distance in Å.
Element x y z (fractional)
Au (0.5000, 0.5000, 0.5000)  8 Fe 2.83
I (0.0000, 0.0000, 0.0000)  8 Fe 2.83
Fe (0.7500, 0.7500, 0.7500)  4 I 2.83, 4 Au 2.83
Fe (0.2500, 0.2500, 0.2500)  4 I 2.83, 4 Au 2.83

Values from the calculation:
**ΔE_f (raw)**: 0.731 eV per atom
**ΔE to the lowest computed polymorph**: 0.000 eV per atom
**Space group**: Fm-3m (225)